[1]
A plane-wave DFT calculation with SCAN was carried out for FeTc2WO at its PBEsol-relaxed geometry.

Values from the calculation:
volume = 13.793 Å³/atom
formation energy without anion corrections = 0.94 eV per atom
calculated total energy = -31.899 eV per atom

Lattice parameters (Å, degrees): 4.6212 4.6212 3.2294 90.00 90.00 90.00
Fractional coordinates of all 5 atoms:
Fe 0.0000 0.0000 0.0000
Tc 0.0000 0.5000 0.0000
Tc 0.5000 0.0000 0.0000
W 0.5000 0.5000 0.5000
O 0.0000 0.0000 0.5000



[2]
A plane-wave DFT calculation with SCAN was carried out for FeTe6O13 at its PBEsol-relaxed geometry.

Values from the calculation:
volume = 13.834 Å³/atom
formation energy without anion corrections = -1.13 eV per atom
calculated total energy = -17.263 eV per atom

Lattice parameters (Å, degrees): 8.5656 8.5656 8.5656 72.13 72.13 72.13
Fractional coordinates of all 40 atoms:
Fe 0.2443 0.2443 0.2443
Fe 0.7557 0.7557 0.7557
Te 0.0260 0.3287 0.9158
Te 0.0842 0.9740 0.6713
Te 0.1673 0.5683 0.4842
Te 0.3287 0.9158 0.0260
Te 0.4318 0.5158 0.8327
Te 0.4842 0.1673 0.5683
Te 0.5158 0.8327 0.4318
Te 0.5683 0.4842 0.1673
Te 0.6713 0.0842 0.9740
Te 0.8327 0.4317 0.5158
Te 0.9158 0.0260 0.3287
Te 0.9740 0.6713 0.0842
O 0.0460 0.1359 0.3861
O 0.1044 0.3973 0.4186
O 0.1172 0.7972 0.8744
O 0.1256 0.8828 0.2028
O 0.1359 0.3861 0.0460
O 0.1998 0.4519 0.7030
O 0.2028 0.1256 0.8828
O 0.2970 0.8002 0.5481
O 0.3861 0.0460 0.1359
O 0.3973 0.4186 0.1044
O 0.4153 0.4153 0.4153
O 0.4186 0.1044 0.3973
O 0.4519 0.7030 0.1998
O 0.5481 0.2970 0.8002
O 0.5814 0.8956 0.6027
O 0.5847 0.5847 0.5847
O 0.6027 0.5814 0.8956
O 0.6139 0.9540 0.8641
O 0.7030 0.1998 0.4519
O 0.7972 0.8744 0.1172
O 0.8002 0.5481 0.2970
O 0.8641 0.6139 0.9540
O 0.8744 0.1172 0.7972
O 0.8828 0.2028 0.1256
O 0.8956 0.6027 0.5814
O 0.9540 0.8641 0.6139